{
  "formula": "BaNiP2",
  "functional": "PBE-GGA",
  "state": "relaxed",
  "crystal_system": "trigonal",
  "final_energy_ev_per_atom": -5.178,
  "dos_at_fermi_per_ev_atom": 0.511,
  "ef_ev_per_atom": -0.5469,
  "sg": "R-3m (166)",
  "cell": [[4.011, 0.000, 0.000], [-2.006, 3.474, 0.000], [0.000, 0.000, 17.184]],
  "species": ["Ba", "Ba", "Ba", "Ni", "Ni", "Ni", "P", "P", "P", "P", "P", "P"],
  "fractional_positions": [[0.000, 0.000, 0.000], [0.333, 0.667, 0.667], [0.667, 0.333, 0.333], [0.000, 0.000, 0.500], [0.333, 0.667, 0.167], [0.667, 0.333, 0.833], [0.000, 0.000, 0.201], [0.000, 0.000, 0.799], [0.333, 0.667, 0.465], [0.333, 0.667, 0.868], [0.667, 0.333, 0.132], [0.667, 0.333, 0.535]]
}